The following is a GGA-PBEsol calculation of Y2BePt after structural relaxation, from the Alexandria database.

Output
energy of formation from the pure elements = -0.362 eV/atom
volume = 18.1 A^3/atom
total DFT energy (no corrections) = -6.514 eV per atom

Cell lengths 4.677, 4.677, 4.677 Å; angles 60.00, 60.00, 60.00 degrees
Positions (direct):
1 Y 0.250 0.250 0.250
2 Y 0.000 0.000 0.000
3 Be 0.500 0.500 0.500
4 Pt 0.750 0.750 0.750